Computed, not measured: an optimized crystal structure of Pm8Sc2In at the PBE-GGA level of DFT.

Cell: 4.9757 7.9700 9.3132 Å, 105.51 105.49 90.00°
Sites, in units of the cell vectors:
1 Sc 0.7747 0.3694 0.5493
2 Sc 0.2253 0.6306 0.4507
3 Pm 0.1385 0.1862 0.2769
4 Pm 0.6805 0.9106 0.3611
5 Pm 0.0468 0.7274 0.0935
6 Pm 0.9532 0.2726 0.9065
7 Pm 0.4061 0.5536 0.8123
8 Pm 0.3195 0.0894 0.6389
9 Pm 0.8615 0.8138 0.7231
10 Pm 0.5939 0.4464 0.1877
11 In 0.5000 0.0000 0.0000

Calculated values
crystal system: monoclinic
DOS at the Fermi energy: 1.399 states/eV per atom
space group: C2/m, No. 12
E_form: -0.06 eV/atom
total DFT energy (no corrections): -4.9103 eV/atom